A geometry-optimized V2Ge2Br structure. Source: Alexandria, functional PBE.

Cell: 7.6657 7.6657 2.9094 Å, 90.00 90.00 90.00°
Sites, in units of the cell vectors:
Ge (0.3664, 0.8664, 0.0000)
Ge (0.8664, 0.6336, 0.0000)
Ge (0.6336, 0.1336, 0.0000)
Ge (0.1336, 0.3664, 0.0000)
Br (0.0000, 0.0000, 0.0000)
Br (0.5000, 0.5000, 0.0000)
V (0.1575, 0.6575, 0.5000)
V (0.6575, 0.8425, 0.5000)
V (0.8425, 0.3425, 0.5000)
V (0.3425, 0.1575, 0.5000)

Summary:
Polymorph energy (0 for the lowest one): 7.1 kJ/mol of atoms
Space-group type: P4/mbm, No. 127
Total energy: -54.49 eV/cell
Formation energy (no corrections): 0.380 eV per atom